NaLi2HgF6 after structural relaxation. Source: the Alexandria database, functional PBE.

a = 6.9373 Å, b = 6.9373 Å, c = 5.8651 Å
α = 95.67°, β = 95.67°, γ = 81.31°
Closest atoms and distances in Å follow each position.
Positions (direct):
Na 0.0935 0.9065 0.7500  6 F 2.20-2.46
Na 0.9065 0.0935 0.2500  6 F 2.20-2.46
Li 0.1602 0.3601 0.9122  5 F 1.93-2.08
Li 0.3601 0.1602 0.4122  5 F 1.93-2.08
Li 0.6399 0.8398 0.5878  5 F 1.93-2.08
Li 0.8398 0.6399 0.0878  5 F 1.93-2.08
Hg 0.2960 0.7040 0.2500  6 F 2.17-2.29
Hg 0.7040 0.2960 0.7500  6 F 2.17-2.29
F 0.0119 0.2270 0.6396  1 Li 2.03, 1 Hg 2.26
F 0.0934 0.6406 0.9267  2 Li 1.93-2.08
F 0.2270 0.0119 0.1396  1 Li 2.03, 1 Hg 2.26
F 0.3166 0.3875 0.2229  2 Li 1.99-2.03, 1 Hg 2.17
F 0.3594 0.9066 0.5733  2 Li 1.93-2.08
F 0.3875 0.3166 0.7229  2 Li 1.99-2.03, 1 Hg 2.17
F 0.6125 0.6834 0.2771  2 Li 1.99-2.03, 1 Hg 2.17
F 0.6406 0.0934 0.4267  2 Li 1.93-2.08
F 0.6834 0.6125 0.7771  2 Li 1.99-2.03, 1 Hg 2.17
F 0.7730 0.9881 0.8604  1 Li 2.03, 1 Hg 2.26
F 0.9066 0.3594 0.0733  2 Li 1.93-2.08
F 0.9881 0.7730 0.3604  1 Li 2.03, 1 Hg 2.26

crystal system = monoclinic
total DFT energy (no corrections) = -76.14 eV/cell